Material: Sm2VCrO6
Method: DFT, PBE with a Hubbard U
State: optimized geometry

Properties
* crystal system: monoclinic
* space-group type: P2_1/c
* size of the total moment: 0.5000 μB per atom
* calculated total energy: -8.20 eV/atom

Cell: 5.409 5.727 7.735 Å, 90.00 89.85 90.00°
Last column: magnetic moment on the atom in μB.
Fractional positions:
V (0.000, 0.500, 0.500)  1.87
V (0.500, 0.000, 0.000)  1.87
Sm (0.982, 0.062, 0.750)  0.01
Sm (0.518, 0.562, 0.750)  0.01
Sm (0.018, 0.938, 0.250)  0.01
Sm (0.482, 0.438, 0.250)  0.01
O (0.399, 0.965, 0.751)  -0.02
O (0.303, 0.702, 0.448)  -0.01
O (0.301, 0.696, 0.053)  0.00
O (0.601, 0.035, 0.249)  -0.02
O (0.803, 0.798, 0.948)  -0.01
O (0.801, 0.804, 0.553)  0.00
O (0.699, 0.304, 0.947)  0.00
O (0.899, 0.535, 0.251)  -0.02
O (0.199, 0.196, 0.447)  0.00
O (0.101, 0.465, 0.749)  -0.02
O (0.197, 0.202, 0.052)  -0.01
O (0.697, 0.298, 0.552)  -0.01
Cr (0.500, 0.000, 0.500)  2.97
Cr (0.000, 0.500, 0.000)  2.97